# 1
Here is ReTcOs after structural relaxation from Alexandria via LeMat-Bulk. Energies are from GGA-PBE.

Values from the calculation:
- ΔE to the lowest computed polymorph (meV/atom) = 183
- total moment (μB per cell) = 0.00
- density (Mg/m³) = 17.7
- energy (eV/atom) = -11.229
- energy of formation (meV per atom) = 119

Structure (POSCAR):
```
ReTcOs
1.0
4.3454 0.0000 0.0000
-2.1727 3.7632 0.0000
0.0000 0.0000 2.7169
Os Re Tc
1 1 1
Direct
0.0000 0.0000 0.0000
0.3333 0.6667 0.4999
0.6667 0.3333 0.5000
```

# 2
Here is ReTc2Os after structural relaxation from Alexandria via LeMat-Bulk. Energies are from GGA-PBE.

Values from the calculation:
- ΔE to the lowest computed polymorph (meV/atom) = 117
- total moment (μB per cell) = 0.00
- density (Mg/m³) = 16.2
- energy (eV/atom) = -11.038
- energy of formation (meV per atom) = 65

Structure (POSCAR):
```
ReTc2Os
1.0
2.7432 0.0000 0.0000
0.0000 2.7432 0.0000
0.0000 0.0000 7.7853
Tc Re Os
2 1 1
Direct
0.5000 0.5000 0.2506
0.0000 0.0000 0.0010
0.5000 0.5000 0.7475
0.0000 0.0000 0.5010
```

# 3
Here is Re2TcOs after structural relaxation from Alexandria via LeMat-Bulk. Energies are from GGA-PBE.

Values from the calculation:
- ΔE to the lowest computed polymorph (meV/atom) = 80
- total moment (μB per cell) = 0.00
- density (Mg/m³) = 18.6
- energy (eV/atom) = -11.562
- energy of formation (meV per atom) = 61

Structure (POSCAR):
```
Re2TcOs
1.0
2.7489 0.0000 0.0000
0.0000 2.7489 0.0000
0.0000 0.0000 7.7977
Os Tc Re
1 1 2
Direct
0.5000 0.5000 0.7500
0.5000 0.5000 0.2500
0.0000 0.0000 0.9987
0.0000 0.0000 0.5013
```

# 4
Here is ReTcOs after structural relaxation from Alexandria via LeMat-Bulk. Energies are from GGA-PBE.

Values from the calculation:
- ΔE to the lowest computed polymorph (meV/atom) = 119
- total moment (μB per cell) = 0.00
- density (Mg/m³) = 17.9
- energy (eV/atom) = -11.293
- energy of formation (meV per atom) = 55

Structure (POSCAR):
```
ReTcOs
1.0
-1.6794 0.7839 -3.4210
1.5691 -3.2184 -1.5078
-3.9068 -4.6438 0.8538
Tc Os Re
2 2 2
Direct
0.1431 0.8417 0.4809
0.1431 0.5087 0.1488
0.6431 0.0068 0.1507
0.6431 0.3436 0.4789
0.1431 0.1752 0.8148
0.6431 0.6752 0.8148
```

# 5
Here is ReTcOs after structural relaxation from Alexandria via LeMat-Bulk. Energies are from GGA-PBE.

Values from the calculation:
- ΔE to the lowest computed polymorph (meV/atom) = 129
- total moment (μB per cell) = 0.00
- density (Mg/m³) = 17.9
- energy (eV/atom) = -11.283
- energy of formation (meV per atom) = 65

Structure (POSCAR):
```
ReTcOs
1.0
6.1617 -0.0009 0.0000
4.9414 3.6809 0.0000
-5.5515 -1.8400 1.9394
Os Re Tc
1 1 1
Direct
0.9999 0.9999 0.0000
0.3355 0.3355 0.0000
0.6646 0.6646 0.0000
```

# 6
Here is Re2TcOs after structural relaxation from Alexandria via LeMat-Bulk. Energies are from GGA-PBE.

Values from the calculation:
- ΔE to the lowest computed polymorph (meV/atom) = 66
- total moment (μB per cell) = 0.00
- density (Mg/m³) = 18.6
- energy (eV/atom) = -11.576
- energy of formation (meV per atom) = 47

Structure (POSCAR):
```
Re2TcOs
1.0
4.7616 -0.0124 -0.0137
1.5879 4.4891 0.0137
-3.1666 -2.2499 2.7539
Os Re Tc
1 2 1
Direct
0.2500 0.7500 0.5000
0.5000 0.5000 0.0000
0.0000 0.0000 0.0000
0.7500 0.2500 0.5000
```

# 7
Here is ReTc2Os2 after structural relaxation from Alexandria via LeMat-Bulk. Energies are from GGA-PBE.

Values from the calculation:
- ΔE to the lowest computed polymorph (meV/atom) = 0
- total moment (μB per cell) = 0.00
- density (Mg/m³) = 16.7
- energy (eV/atom) = -10.838
- energy of formation (meV per atom) = 290

Structure (POSCAR):
```
ReTc2Os2
1.0
7.3817 0.0000 0.0000
0.0000 7.3817 0.0000
0.0000 0.0000 2.7832
Re Os Tc
2 4 4
Direct
0.5000 0.5000 0.0000
0.0000 0.0000 0.0000
0.3746 0.8746 0.0000
0.1254 0.3746 0.0000
0.6254 0.1254 0.0000
0.8746 0.6254 0.0000
0.1708 0.6708 0.5000
0.6708 0.8292 0.5000
0.8292 0.3292 0.5000
0.3292 0.1708 0.5000
```

# 8
Here is ReTc2Os after structural relaxation from Alexandria via LeMat-Bulk. Energies are from GGA-PBE.

Values from the calculation:
- ΔE to the lowest computed polymorph (meV/atom) = 109
- total moment (μB per cell) = 0.00
- density (Mg/m³) = 16.2
- energy (eV/atom) = -11.046
- energy of formation (meV per atom) = 57

Structure (POSCAR):
```
ReTc2Os
1.0
-2.2114 0.3265 4.2098
-1.7461 -2.3436 3.7654
3.7698 0.1753 2.8941
Tc Re Os
2 1 1
Direct
0.7556 0.7556 0.7501
0.9959 0.9959 0.9975
0.2509 0.2509 0.2546
0.4975 0.4975 0.4977
```

# 9
Here is Re2TcOs after structural relaxation from Alexandria via LeMat-Bulk. Energies are from GGA-PBE.

Values from the calculation:
- ΔE to the lowest computed polymorph (meV/atom) = 452
- total moment (μB per cell) = 0.00
- density (Mg/m³) = 18.4
- energy (eV/atom) = -11.189
- energy of formation (meV per atom) = 434

Structure (POSCAR):
```
Re2TcOs
1.0
4.3885 0.0000 0.0000
2.1943 3.8006 0.0000
2.1943 1.2669 3.5832
Re Os Tc
2 1 1
Direct
0.2500 0.2500 0.2500
0.0000 0.0000 0.0000
0.5000 0.5000 0.5000
0.7500 0.7500 0.7500
```

# 10
Here is ReTcOs after structural relaxation from Alexandria via LeMat-Bulk. Energies are from GGA-PBE.

Values from the calculation:
- ΔE to the lowest computed polymorph (meV/atom) = 0
- total moment (μB per cell) = 0.00
- density (Mg/m³) = 18.0
- energy (eV/atom) = -11.412
- energy of formation (meV per atom) = -64

Structure (POSCAR):
```
ReTcOs
1.0
-3.7492 2.1332 0.8114
-1.6823 -3.8349 2.3084
3.1914 2.8950 7.1353
Os Tc Re
4 4 4
Direct
0.9999 0.9180 0.5005
0.4999 0.5820 0.4994
0.0001 0.4180 0.9995
0.5001 0.0820 0.0006
0.0000 0.4184 0.3334
0.0000 0.9184 0.1666
0.5000 0.0816 0.6666
0.5000 0.5816 0.8334
0.0000 0.4206 0.6656
0.0000 0.9206 0.8344
0.5000 0.5794 0.1656
0.5000 0.0794 0.3344
```

# 11
Here is ReTcOs2 after structural relaxation from Alexandria via LeMat-Bulk. Energies are from GGA-PBE.

Values from the calculation:
- ΔE to the lowest computed polymorph (meV/atom) = 0
- total moment (μB per cell) = 0.00
- density (Mg/m³) = 19.0
- energy (eV/atom) = -11.410
- energy of formation (meV per atom) = -92

Structure (POSCAR):
```
ReTcOs2
1.0
4.3745 0.0000 0.0000
0.0000 2.7621 0.0021
0.0000 -0.0036 4.7961
Os Re Tc
2 1 1
Direct
0.5000 0.1252 0.2923
0.0000 0.1248 0.9557
0.0000 0.6252 0.4594
0.5000 0.6248 0.7926
```

# 12
Here is ReTc2Os after structural relaxation from Alexandria via LeMat-Bulk. Energies are from GGA-PBE.

Values from the calculation:
- ΔE to the lowest computed polymorph (meV/atom) = 118
- total moment (μB per cell) = 0.00
- density (Mg/m³) = 16.2
- energy (eV/atom) = -11.037
- energy of formation (meV per atom) = 66

Structure (POSCAR):
```
ReTc2Os
1.0
-1.5899 -2.2319 0.0816
1.2648 -0.8174 2.2909
-5.2319 3.8833 4.2740
Os Re Tc
1 1 2
Direct
0.5000 0.5000 0.2500
0.5000 0.5000 0.7500
0.0000 0.0000 0.0025
0.0000 0.0000 0.4975
```

# 13
Here is ReTcOs2 after structural relaxation from Alexandria via LeMat-Bulk. Energies are from GGA-PBE.

Values from the calculation:
- ΔE to the lowest computed polymorph (meV/atom) = 554
- total moment (μB per cell) = 0.00
- density (Mg/m³) = 18.1
- energy (eV/atom) = -10.856
- energy of formation (meV per atom) = 462

Structure (POSCAR):
```
ReTcOs2
1.0
-2.2396 4.8954 1.2470
-3.0613 2.8979 -3.5731
0.8713 -4.5587 2.9992
Re Os Tc
1 2 1
Direct
0.7500 0.2500 0.5000
0.5275 0.5275 0.0000
0.9725 0.9725 0.0000
0.2500 0.7500 0.5000
```

# 14
Here is ReTcOs after structural relaxation from Alexandria via LeMat-Bulk. Energies are from GGA-PBE.

Values from the calculation:
- ΔE to the lowest computed polymorph (meV/atom) = 136
- total moment (μB per cell) = 0.00
- density (Mg/m³) = 17.9
- energy (eV/atom) = -11.276
- energy of formation (meV per atom) = 72

Structure (POSCAR):
```
ReTcOs
1.0
2.7446 0.0000 0.0000
-1.3723 2.3769 0.0000
0.0000 0.0000 6.7398
Re Tc Os
1 1 1
Direct
0.6667 0.3333 0.3319
0.3333 0.6667 0.6682
0.0000 0.0000 0.9999
```

# 15
Here is ReTc5Os2 after structural relaxation from Alexandria via LeMat-Bulk. Energies are from GGA-PBE.

Values from the calculation:
- total moment (μB per cell) = 0.00
- density (Mg/m³) = 15.0
- energy (eV/atom) = -10.796
- energy of formation (meV per atom) = 46

Structure (POSCAR):
```
ReTc5Os2
1.0
4.9489 0.8658 -2.2087
-1.7816 4.6967 -2.2097
-0.4933 -0.8641 5.4043
Os Tc Re
2 5 1
Direct
0.2778 0.7782 0.5041
0.7778 0.2778 0.4961
0.2742 0.2815 0.5002
0.7787 0.2795 0.0083
0.2815 0.2738 0.9994
0.7814 0.7747 0.5000
0.2762 0.7769 0.9915
0.7754 0.7806 0.0003
```

# 16
Here is ReTc3Os after structural relaxation from Alexandria via LeMat-Bulk. Energies are from GGA-PBE.

Values from the calculation:
- ΔE to the lowest computed polymorph (meV/atom) = 2220
- total moment (μB per cell) = 0.00
- density (Mg/m³) = 11.5
- energy (eV/atom) = -8.780
- energy of formation (meV per atom) = 2175

Structure (POSCAR):
```
ReTc3Os
1.0
4.5866 0.0000 0.0000
0.0000 4.5866 0.0000
0.0000 0.0000 4.5866
Tc Os Re
3 1 1
Direct
0.0000 0.5000 0.0000
0.5000 0.0000 0.0000
0.0000 0.0000 0.5000
0.5000 0.5000 0.5000
0.0000 0.0000 0.0000
```

# 17
Here is Re2TcOs after structural relaxation from Alexandria via LeMat-Bulk. Energies are from GGA-PBE.

Values from the calculation:
- ΔE to the lowest computed polymorph (meV/atom) = 472
- total moment (μB per cell) = 0.00
- density (Mg/m³) = 18.4
- energy (eV/atom) = -11.170
- energy of formation (meV per atom) = 453

Structure (POSCAR):
```
Re2TcOs
1.0
0.0000 3.1023 3.1023
3.1023 0.0000 3.1023
3.1023 3.1023 0.0000
Tc Re Os
1 2 1
Direct
0.0000 0.0000 0.0000
0.2500 0.2500 0.2500
0.7500 0.7500 0.7500
0.5000 0.5000 0.5000
```

# 18
Here is Re2TcOs after structural relaxation from Alexandria via LeMat-Bulk. Energies are from GGA-PBE.

Values from the calculation:
- ΔE to the lowest computed polymorph (meV/atom) = 66
- total moment (μB per cell) = 0.00
- density (Mg/m³) = 18.6
- energy (eV/atom) = -11.576
- energy of formation (meV per atom) = 47

Structure (POSCAR):
```
Re2TcOs
1.0
3.8932 0.0000 0.0000
0.0000 3.8925 0.0000
0.0000 0.0000 3.8884
Re Tc Os
2 1 1
Direct
0.0000 0.0000 0.0000
0.5000 0.5000 0.0000
0.5000 0.0000 0.5000
0.0000 0.5000 0.5000
```

# 19
Here is Re2TcOs after structural relaxation from Alexandria via LeMat-Bulk. Energies are from GGA-PBE.

Values from the calculation:
- ΔE to the lowest computed polymorph (meV/atom) = 75
- total moment (μB per cell) = 0.00
- density (Mg/m³) = 18.6
- energy (eV/atom) = -11.567
- energy of formation (meV per atom) = 56

Structure (POSCAR):
```
Re2TcOs
1.0
4.7723 -0.0001 0.0124
3.9780 2.6363 0.0124
0.8017 0.2415 4.6898
Re Os Tc
2 1 1
Direct
0.9978 0.9978 0.0020
0.5022 0.5022 0.4980
0.2500 0.2500 0.2500
0.7500 0.7500 0.7500
```

# 20
Here is ReTcOs2 after structural relaxation from Alexandria via LeMat-Bulk. Energies are from GGA-PBE.

Values from the calculation:
- ΔE to the lowest computed polymorph (meV/atom) = 146
- total moment (μB per cell) = 0.00
- density (Mg/m³) = 18.9
- energy (eV/atom) = -11.265
- energy of formation (meV per atom) = 54

Structure (POSCAR):
```
ReTcOs2
1.0
-0.8849 -0.2193 3.7770
3.1934 -2.0986 0.6263
2.0047 3.2469 0.6582
Os Tc Re
2 1 1
Direct
0.0000 0.5000 0.5000
0.0000 0.0000 0.0000
0.5000 0.0000 0.5000
0.5000 0.5000 0.0000
```